w | Below is a geometry-optimized Pr2Hg2O5 structure, with properties calculated at the GGA-PBE level.

Structure (CIF):
```
data_Pr2Hg2O5
_cell_length_a 4.207
_cell_length_b 4.207
_cell_length_c 9.223
_cell_angle_alpha 90.00
_cell_angle_beta 90.00
_cell_angle_gamma 90.00
_space_group_name_H-M_alt 'P 4/m m m'
_space_group_IT_number 123
_space_group_name_Hall '-P 4 2'
loop_
_atom_site_label
_atom_site_fract_x
_atom_site_fract_y
_atom_site_fract_z
_atom_site_occupancy
Pr1 0.000 0.000 0.250 1
Hg1 0.500 0.500 0.000 1
Hg2 0.500 0.500 0.500 1
O1 0.000 0.000 0.000 1
O2 0.000 0.500 0.351 1
```

Values from the calculation:
**Total magnetization**: 1.34 μB/cell

x | Below is a geometry-optimized Pr2Hg2O5 structure, with properties calculated at the GGA-PBE level.

Structure (CIF):
```
data_Pr2Hg2O5
_cell_length_a 4.331
_cell_length_b 4.331
_cell_length_c 7.286
_cell_angle_alpha 90.00
_cell_angle_beta 90.00
_cell_angle_gamma 90.00
_space_group_name_H-M_alt 'P 4/m m m'
_space_group_IT_number 123
_space_group_name_Hall '-P 4 2'
loop_
_atom_site_label
_atom_site_fract_x
_atom_site_fract_y
_atom_site_fract_z
_atom_site_occupancy
Pr1 0.000 0.000 0.000 1
Pr2 0.000 0.000 0.500 1
Hg1 0.500 0.500 0.195 1
O1 0.000 0.500 0.217 1
O2 0.500 0.500 0.500 1
```

Values from the calculation:
**Total magnetization**: 0.00 μB/cell

Ordering by calculated energy gives the sequence w, x, with the first entry being the most stable.